PrDyRe (PBE, relaxed); calculated total energy = -7.097 eV/atom; DOS(E_F) = 0.895 states/eV per atom
1.0
4.4923 -2.5979 0.0000
4.4923 2.5979 0.0000
-2.9911 0.0000 6.7663
Pr Dy Re
2 2 2
Cartesian
0.0040 0.0000 2.4143
5.9896 0.0000 4.3520
0.0036 0.0000 5.9796
5.9900 0.0000 0.7867
2.9998 0.0000 2.1528
2.9938 0.0000 4.6135


Tb2Pm2Ho15 (PBE, relaxed); calculated total energy = -4.308 eV/atom; DOS(E_F) = 1.733 states/eV per atom
1.0
5.5740 3.2181 5.8365
-5.5740 3.2181 5.8365
0.0000 -6.4363 5.8365
Tb Pm Ho
2 2 15
Cartesian
0.0000 0.0000 3.0178
0.0000 0.0000 14.4915
0.0000 0.0000 6.7526
0.0000 0.0000 10.7568
-2.7870 -1.6091 5.8365
0.0000 -3.3591 5.3280
-2.9091 1.6795 5.3280
-1.6829 -2.9149 8.7547
-3.3658 0.0000 8.7547
-2.9091 -1.6795 12.1814
-2.7870 1.6091 11.6729
1.6829 -2.9149 8.7547
0.0000 3.2181 5.8365
-1.6829 2.9149 8.7547
2.9091 1.6795 5.3280
3.3658 0.0000 8.7547
1.6829 2.9149 8.7547
2.9091 -1.6795 12.1814
0.0000 3.3591 12.1814


PRu2W (PBE, relaxed); calculated total energy = -9.478 eV/atom; DOS(E_F) = 0.341 states/eV per atom
1.0
2.8488 0.0000 0.0000
0.0000 2.8488 0.0000
0.0000 0.0000 6.7641
P Ru W
1 2 1
Cartesian
0.0000 0.0000 0.0000
1.4244 1.4244 1.4369
1.4244 1.4244 5.3272
0.0000 0.0000 3.3821


CaBe2Mo (PBE, relaxed); energy above the most stable polymorph in this dataset = 0.593 eV per atom; calculated total energy = -4.218 eV/atom; DOS(E_F) = 0.555 states/eV per atom
1.0
1.4243 0.8223 8.8832
-1.4243 0.8223 8.8832
0.0000 -1.6446 8.8832
Ca Be Mo
1 2 1
Cartesian
0.0000 0.0000 0.0000
0.0000 0.0000 6.3166
0.0000 0.0000 13.5332
0.0000 0.0000 20.4395


What is the DOS(E_F) in the third record?
0.341 states/eV per atom